(1)
# CsCa2SbPt, relaxed, DFT PBE
# formation energy from raw total energies	-418	meV per atom
# magnetic moment	0.0099	μB per atom
data_CsCa2SbPt
_chemical_formula_sum 'Cs1 Ca2 Sb1 Pt1'
_cell_length_a 5.704
_cell_length_b 5.704
_cell_length_c 5.421
_cell_angle_alpha 90.00
_cell_angle_beta 90.00
_cell_angle_gamma 90.00
_space_group_name_H-M_alt 'P 4/m m m'
_space_group_IT_number 123
_space_group_name_Hall '-P 4 2'
loop_
_atom_site_label
_atom_site_type_symbol
_atom_site_fract_x
_atom_site_fract_y
_atom_site_fract_z
Cs1 Cs 0.000 0.000 0.000
Ca1 Ca 0.000 0.500 0.500
Sb1 Sb 0.500 0.500 0.000
Pt1 Pt 0.500 0.500 0.500



(2)
# CeMg2Al, relaxed, DFT PBE
# magnetic moment	0.2482	μB per atom
# ΔH_f (0 K)	0.0070	eV per atom
data_CeMg2Al
_chemical_formula_sum 'Ce1 Mg2 Al1'
_cell_length_a 3.069
_cell_length_b 3.069
_cell_length_c 9.565
_cell_angle_alpha 90.00
_cell_angle_beta 90.00
_cell_angle_gamma 90.00
_space_group_name_H-M_alt 'P 4/m m m'
_space_group_IT_number 123
_space_group_name_Hall '-P 4 2'
loop_
_atom_site_label
_atom_site_type_symbol
_atom_site_fract_x
_atom_site_fract_y
_atom_site_fract_z
Ce1 Ce 0.000 0.000 0.000
Mg1 Mg 0.500 0.500 0.284
Al1 Al 0.000 0.000 0.500



(3)
# BaPtW, relaxed, DFT PBE
# magnetic moment	0.0000	μB per atom
# ΔH_f (0 K)	0.1080	eV per atom
data_BaPtW
_chemical_formula_sum 'Ba2 Pt2 W2'
_cell_length_a 4.087
_cell_length_b 4.586
_cell_length_c 11.382
_cell_angle_alpha 100.35
_cell_angle_beta 90.05
_cell_angle_gamma 116.45
_space_group_name_H-M_alt 'P 1'
_space_group_IT_number 1
_space_group_name_Hall 'P 1'
loop_
_atom_site_label
_atom_site_type_symbol
_atom_site_fract_x
_atom_site_fract_y
_atom_site_fract_z
Ba1 Ba 0.000 0.000 0.000
Ba2 Ba 0.379 0.761 0.383
Pt1 Pt 0.104 0.210 0.554
Pt2 Pt 0.574 0.148 0.779
W1 W 0.271 0.544 0.777
W2 W 0.831 0.664 0.647



Question: Which value of magnetic moment does entry 2 give?
Answer: 0.2482 μB per atom



Question: What is the magnetic moment in the second record?
Answer: 0.2482 μB per atom



Please write out number 2 again, unchanged.
# CeMg2Al, relaxed, DFT PBE
# magnetic moment	0.2482	μB per atom
# ΔH_f (0 K)	0.0070	eV per atom
data_CeMg2Al
_chemical_formula_sum 'Ce1 Mg2 Al1'
_cell_length_a 3.069
_cell_length_b 3.069
_cell_length_c 9.565
_cell_angle_alpha 90.00
_cell_angle_beta 90.00
_cell_angle_gamma 90.00
_space_group_name_H-M_alt 'P 4/m m m'
_space_group_IT_number 123
_space_group_name_Hall '-P 4 2'
loop_
_atom_site_label
_atom_site_type_symbol
_atom_site_fract_x
_atom_site_fract_y
_atom_site_fract_z
Ce1 Ce 0.000 0.000 0.000
Mg1 Mg 0.500 0.500 0.284
Al1 Al 0.000 0.000 0.500



What did the first record say?
# CsCa2SbPt, relaxed, DFT PBE
# formation energy from raw total energies	-418	meV per atom
# magnetic moment	0.0099	μB per atom
data_CsCa2SbPt
_chemical_formula_sum 'Cs1 Ca2 Sb1 Pt1'
_cell_length_a 5.704
_cell_length_b 5.704
_cell_length_c 5.421
_cell_angle_alpha 90.00
_cell_angle_beta 90.00
_cell_angle_gamma 90.00
_space_group_name_H-M_alt 'P 4/m m m'
_space_group_IT_number 123
_space_group_name_Hall '-P 4 2'
loop_
_atom_site_label
_atom_site_type_symbol
_atom_site_fract_x
_atom_site_fract_y
_atom_site_fract_z
Cs1 Cs 0.000 0.000 0.000
Ca1 Ca 0.000 0.500 0.500
Sb1 Sb 0.500 0.500 0.000
Pt1 Pt 0.500 0.500 0.500